Record 1
First-principles (PBE-GGA) data for a geometry-optimized Sm2HfAs3Rh4 structure, as listed in Alexandria.

CIF file:
```
data_Sm2HfAs3Rh4
_chemical_formula_sum 'Sm2 Hf1 As3 Rh4'
_cell_length_a 4.104
_cell_length_b 4.104
_cell_length_c 11.153
_cell_angle_alpha 90.00
_cell_angle_beta 90.00
_cell_angle_gamma 90.00
_space_group_name_H-M_alt 'P 1'
_space_group_IT_number 1
loop_
_space_group_symop_operation_xyz
'x,y,z'
loop_
_atom_site_label
_atom_site_type_symbol
_atom_site_fract_x
_atom_site_fract_y
_atom_site_fract_z
Sm1 Sm 0.000 0.500 0.224
Sm2 Sm 0.500 0.000 0.776
Hf1 Hf 0.000 0.000 0.500
As1 As 0.000 0.500 0.865
As2 As 0.500 0.000 0.135
As3 As 0.500 0.500 0.500
Rh1 Rh 0.000 0.000 0.000
Rh2 Rh 0.000 0.500 0.645
Rh3 Rh 0.500 0.000 0.355
Rh4 Rh 0.500 0.500 0.000
```

Fermi-level density of states	0.547	states/eV per atom

Record 2
First-principles (PBE-GGA) data for a geometry-optimized Na2BiPt2 structure, as listed in Alexandria.

CIF file:
```
data_Na2BiPt2
_chemical_formula_sum 'Na4 Bi2 Pt4'
_cell_length_a 5.739
_cell_length_b 5.739
_cell_length_c 8.275
_cell_angle_alpha 100.76
_cell_angle_beta 100.76
_cell_angle_gamma 60.93
_space_group_name_H-M_alt 'P 1'
_space_group_IT_number 1
loop_
_space_group_symop_operation_xyz
'x,y,z'
loop_
_atom_site_label
_atom_site_type_symbol
_atom_site_fract_x
_atom_site_fract_y
_atom_site_fract_z
Na1 Na 0.011 0.289 0.153
Na2 Na 0.289 0.011 0.653
Na3 Na 0.711 0.989 0.347
Na4 Na 0.989 0.711 0.847
Bi1 Bi 0.358 0.642 0.250
Bi2 Bi 0.642 0.358 0.750
Pt1 Pt 0.228 0.500 0.504
Pt2 Pt 0.500 0.228 0.004
Pt3 Pt 0.500 0.772 0.996
Pt4 Pt 0.772 0.500 0.496
```

Fermi-level density of states	0.218	states/eV per atom
energy above the lowest structure with this stoichiometry	0.000	eV per atom

no.,energy of formation from the pure elements (eV per atom)
1,-0.97
2,-0.33